# 1
# CdMoBr2 | the Alexandria database | PBEsol | optimized geometry
data_CdMoBr2
_symmetry_space_group_name_H-M 'P 4/m m m'
_symmetry_Int_Tables_number 123
_symmetry_space_group_name_Hall '-P 4 2'
_cell_length_a 4.838
_cell_length_b 4.838
_cell_length_c 3.832
_cell_angle_alpha 90.00
_cell_angle_beta 90.00
_cell_angle_gamma 90.00
loop_
_atom_site_label
_atom_site_type_symbol
_atom_site_fract_x
_atom_site_fract_y
_atom_site_fract_z
Cd1 Cd 0.000 0.000 0.000
Mo1 Mo 0.500 0.500 0.000
Br1 Br 0.000 0.500 0.500
# M_tot in μB per cell: 4.1
# E in eV per atom: -3.468

# 2
# CdMo2Br | the Alexandria database | PBEsol | optimized geometry
data_CdMo2Br
_symmetry_space_group_name_H-M 'P 4 m m'
_symmetry_Int_Tables_number 99
_symmetry_space_group_name_Hall 'P 4 -2'
_cell_length_a 3.161
_cell_length_b 3.161
_cell_length_c 7.807
_cell_angle_alpha 90.00
_cell_angle_beta 90.00
_cell_angle_gamma 90.00
loop_
_atom_site_label
_atom_site_type_symbol
_atom_site_fract_x
_atom_site_fract_y
_atom_site_fract_z
Cd1 Cd 0.000 0.000 0.000
Mo1 Mo 0.000 0.000 0.411
Mo2 Mo 0.500 0.500 0.244
Br1 Br 0.500 0.500 0.649
# M_tot in μB per cell: 0.0
# E in eV per atom: -6.310

# 3
# CdMoBr | the Alexandria database | PBEsol | optimized geometry
data_CdMoBr
_symmetry_space_group_name_H-M 'I 4 m m'
_symmetry_Int_Tables_number 107
_symmetry_space_group_name_Hall 'I 4 -2'
_cell_length_a 3.080
_cell_length_b 3.080
_cell_length_c 12.475
_cell_angle_alpha 90.00
_cell_angle_beta 90.00
_cell_angle_gamma 90.00
loop_
_atom_site_label
_atom_site_type_symbol
_atom_site_fract_x
_atom_site_fract_y
_atom_site_fract_z
Cd1 Cd 0.000 0.000 0.000
Mo1 Mo 0.000 0.000 0.656
Br1 Br 0.000 0.000 0.269
# M_tot in μB per cell: 0.0
# E in eV per atom: -4.544

# 4
# Cd2MoBr | the Alexandria database | PBEsol | optimized geometry
data_Cd2MoBr
_symmetry_space_group_name_H-M 'C m m m'
_symmetry_Int_Tables_number 65
_symmetry_space_group_name_Hall '-C 2 2'
_cell_length_a 3.765
_cell_length_b 4.880
_cell_length_c 8.657
_cell_angle_alpha 90.00
_cell_angle_beta 90.00
_cell_angle_gamma 90.00
loop_
_atom_site_label
_atom_site_type_symbol
_atom_site_fract_x
_atom_site_fract_y
_atom_site_fract_z
Cd1 Cd 0.000 0.000 0.237
Mo1 Mo 0.000 0.500 0.000
Br1 Br 0.000 0.500 0.500
# M_tot in μB per cell: 0.0
# E in eV per atom: -3.622

# 5
# CdMo2Br | the Alexandria database | PBEsol | optimized geometry
data_CdMo2Br
_symmetry_space_group_name_H-M 'F -4 3 m'
_symmetry_Int_Tables_number 216
_symmetry_space_group_name_Hall 'F -4 2 3'
_cell_length_a 6.527
_cell_length_b 6.527
_cell_length_c 6.527
_cell_angle_alpha 90.00
_cell_angle_beta 90.00
_cell_angle_gamma 90.00
loop_
_atom_site_label
_atom_site_type_symbol
_atom_site_fract_x
_atom_site_fract_y
_atom_site_fract_z
Cd1 Cd 0.000 0.000 0.000
Mo1 Mo 0.000 0.000 0.500
Mo2 Mo 0.250 0.250 0.250
Br1 Br 0.250 0.250 0.750
# M_tot in μB per cell: 0.0
# E in eV per atom: -5.684

# 6
# CdMoBr2 | the Alexandria database | PBEsol | optimized geometry
data_CdMoBr2
_symmetry_space_group_name_H-M 'C m m m'
_symmetry_Int_Tables_number 65
_symmetry_space_group_name_Hall '-C 2 2'
_cell_length_a 3.100
_cell_length_b 5.825
_cell_length_c 10.195
_cell_angle_alpha 90.00
_cell_angle_beta 90.00
_cell_angle_gamma 90.00
loop_
_atom_site_label
_atom_site_type_symbol
_atom_site_fract_x
_atom_site_fract_y
_atom_site_fract_z
Cd1 Cd 0.000 0.000 0.000
Mo1 Mo 0.000 0.000 0.500
Br1 Br 0.000 0.500 0.301
# M_tot in μB per cell: 2.5
# E in eV per atom: -3.961

Computed formation energy without anion corrections (kJ per mole of atoms) in order:
68.4; 32.9; 38.7; 37.2; 93.2; 20.7